# Os3PbW (GGA-PBE, relaxed)
# ΔE to the lowest computed polymorph = 1558 meV per atom
# total DFT energy (no corrections) = -32.5 eV/f.u.
# crystal system = cubic
# E_form = 3.560 eV/atom
# M_tot = 0.0 μB/cell
data_Os3PbW
_chemical_formula_sum 'Os3 Pb1 W1'
_cell_length_a 4.803
_cell_length_b 4.803
_cell_length_c 4.803
_cell_angle_alpha 90.00
_cell_angle_beta 90.00
_cell_angle_gamma 90.00
_symmetry_space_group_name_H-M 'P 1'
_symmetry_Int_Tables_number 1
loop_
_symmetry_equiv_pos_as_xyz
'x,y,z'
loop_
_atom_site_label
_atom_site_type_symbol
_atom_site_fract_x
_atom_site_fract_y
_atom_site_fract_z
W1 W 0.500 0.500 0.500
Os1 Os 0.000 0.000 0.500
Os2 Os 0.500 0.000 0.000
Os3 Os 0.000 0.500 0.000
Pb1 Pb 0.000 0.000 0.000